VASP calculation (PBE with a Hubbard U) on a relaxed structure of Ca2ScMnO6.

```
Ca2ScMnO6
1.0
5.4571 0.0000 0.0000
0.0000 5.5965 0.0000
-5.4188 0.0000 7.7512
Ca Sc Mn O
4 2 2 12
Direct
0.2371 0.0495 0.2501 Ca
0.2371 0.4505 0.7501 Ca
0.7629 0.5495 0.2499 Ca
0.7629 0.9505 0.7499 Ca
0.5000 0.0000 0.0000 Sc
0.5000 0.5000 0.5000 Sc
0.0000 0.0000 0.5000 Mn
0.0000 0.5000 0.0000 Mn
0.1467 0.2193 0.9520 O
0.1467 0.2807 0.4520 O
0.2379 0.6988 0.9556 O
0.2379 0.8012 0.4556 O
0.3275 0.0264 0.7387 O
0.3275 0.4736 0.2387 O
0.6725 0.5264 0.7613 O
0.6725 0.9736 0.2613 O
0.7621 0.1988 0.5444 O
0.7621 0.3012 0.0444 O
0.8533 0.7193 0.5480 O
0.8533 0.7807 0.0480 O
```

Total magnetic moment: 3.845 μB per cell
E_tot: -7.2224 eV/atom